# PrPuAgOs, optimized geometry, DFT GGA-PBE
# Calculated volume = 22.84 A^3/atom
# ΔE_f = 0.07 eV per atom
# Total magnetization = 1.3742 μB per atom
data_PrPuAgOs
_chemical_formula_sum 'Pr4 Pu4 Ag4 Os4'
_symmetry_space_group_name_H-M 'F -4 3 m'
_symmetry_Int_Tables_number 216
_symmetry_space_group_name_Hall 'F -4 2 3'
_cell_length_a 7.150
_cell_length_b 7.150
_cell_length_c 7.150
_cell_angle_alpha 90.00
_cell_angle_beta 90.00
_cell_angle_gamma 90.00
loop_
_atom_site_label
_atom_site_type_symbol
_atom_site_fract_x
_atom_site_fract_y
_atom_site_fract_z
Pr1 Pr 0.000 0.000 0.000
Pu1 Pu 0.000 0.000 0.500
Ag1 Ag 0.250 0.250 0.250
Os1 Os 0.250 0.250 0.750